Entry 1:
## Ac7SnPb4 (PBE-GGA)

Data for a relaxed structure of Ac7SnPb4.

Computed properties:
ρ = 9.0 Mg/m³
energy relative to the elements = -4.50 eV per formula unit
space group = C2/m, No. 12
calculated total energy = -52.10 eV per cell

Lattice parameters (Å, degrees): 6.249 9.574 9.823 59.12 71.45 70.95
Positions (direct):
Pb: 0.280 0.236 0.204
Ac: 0.839 0.934 0.387
Ac: 0.161 0.066 0.613
Pb: 0.720 0.764 0.796
Ac: 0.500 0.000 0.000
Ac: 0.711 0.406 0.173
Ac: 0.932 0.404 0.732
Sn: 0.000 0.000 0.000
Pb: 0.557 0.299 0.588
Ac: 0.289 0.594 0.827
Ac: 0.068 0.596 0.268
Pb: 0.443 0.701 0.412



Entry 2:
## Ac5Sn3Pb (PBE-GGA)

Data for a relaxed structure of Ac5Sn3Pb.

Computed properties:
ρ = 8.5 Mg/m³
energy relative to the elements = -5.36 eV per formula unit
space group = P6_3/mcm, No. 193
calculated total energy = -83.23 eV per cell

Lattice parameters (Å, degrees): 7.251 10.254 10.253 120.00 90.00 90.00
Positions (direct):
Pb: 0.500 0.000 0.000
Ac: 0.750 0.726 0.727
Ac: 0.250 0.727 0.000
Ac: 0.750 0.000 0.273
Sn: 0.750 0.617 0.000
Ac: 0.000 0.333 0.667
Sn: 0.750 0.000 0.617
Ac: 0.000 0.667 0.333
Sn: 0.250 0.000 0.383
Ac: 0.500 0.667 0.333
Ac: 0.250 0.274 0.273
Ac: 0.500 0.333 0.667
Ac: 0.750 0.273 0.000
Sn: 0.750 0.383 0.383
Pb: 0.000 0.000 0.000
Ac: 0.250 0.000 0.727
Sn: 0.250 0.383 0.000
Sn: 0.250 0.617 0.617



Entry 3:
## AcSnPb4 (PBE-GGA)

Data for a relaxed structure of AcSnPb4.

Computed properties:
ρ = 9.9 Mg/m³
energy relative to the elements = -0.72 eV per formula unit
space group = F-43m, No. 216
calculated total energy = -23.67 eV per cell

Lattice parameters (Å, degrees): 6.532 6.532 6.532 60.00 60.00 60.00
Positions (direct):
Pb: 0.625 0.625 0.124
Sn: 0.000 0.000 0.000
Pb: 0.625 0.124 0.625
Ac: 0.250 0.250 0.250
Pb: 0.625 0.625 0.625
Pb: 0.124 0.625 0.625